Record 1
A plane-wave DFT calculation with GGA-PBE was carried out for a geometry-optimized Na2TmReO6 structure. Values from VASP.

Geometry as Quantum ESPRESSO input:
```
&SYSTEM
  ibrav = 0, nat = 20, ntyp = 4
/
ATOMIC_SPECIES
Na 22.99 Na.upf
Tm 168.93 Tm.upf
Re 186.21 Re.upf
O 16.00 O.upf
CELL_PARAMETERS angstrom
5.601 0.000 -0.027
0.000 5.716 0.000
0.010 0.000 8.002
ATOMIC_POSITIONS crystal
Na 0.008 0.966 0.251
Na 0.508 0.534 0.751
Na 0.992 0.034 0.749
Na 0.492 0.466 0.249
Tm 0.500 0.000 0.000
Tm 0.000 0.500 0.500
Re 0.500 0.000 0.500
Re 0.000 0.500 0.000
O 0.272 0.690 0.040
O 0.772 0.810 0.540
O 0.728 0.310 0.960
O 0.228 0.190 0.460
O 0.314 0.729 0.455
O 0.814 0.771 0.955
O 0.686 0.271 0.545
O 0.186 0.229 0.045
O 0.918 0.522 0.230
O 0.418 0.978 0.730
O 0.082 0.478 0.770
O 0.582 0.022 0.270
```

E_form (uncorrected): -2.208 eV per atom
DFT total energy: -142.8 eV for the cell shown

---

Record 2
A plane-wave DFT calculation with GGA-PBE was carried out for a geometry-optimized UZnGe2Ir2 structure. Values from VASP.

Geometry as Quantum ESPRESSO input:
```
&SYSTEM
  ibrav = 0, nat = 6, ntyp = 4
/
ATOMIC_SPECIES
U 238.03 U.upf
Zn 65.41 Zn.upf
Ge 72.64 Ge.upf
Ir 192.22 Ir.upf
CELL_PARAMETERS angstrom
-1.988 2.953 2.525
2.808 -2.839 1.760
4.685 4.011 -1.004
ATOMIC_POSITIONS crystal
U 0.000 0.000 0.000
Zn 0.000 0.000 0.500
Ge 0.667 0.333 0.289
Ge 0.333 0.667 0.711
Ir 0.667 0.333 0.727
Ir 0.333 0.667 0.273
```

Formation energy from the elements: -316 meV/atom
DFT total energy: -41.4 eV for the cell shown